# PBE Sc6SnHg8, optimized geometry
data_Sc6SnHg8
_chemical_formula_sum 'Sc18 Sn3 Hg24'
_cell_length_a 8.3058
_cell_length_b 8.3058
_cell_length_c 18.3440
_cell_angle_alpha 90.00
_cell_angle_beta 90.00
_cell_angle_gamma 120.00
_symmetry_space_group_name_H-M 'R -3'
_symmetry_Int_Tables_number 148
_symmetry_space_group_name_Hall '-R 3'
loop_
_atom_site_label
_atom_site_type_symbol
_atom_site_fract_x
_atom_site_fract_y
_atom_site_fract_z
_atom_site_occupancy
Sc1 Sc 0.0093 0.7005 0.1096 1
Sn1 Sn 0.0000 0.0000 0.5000 1
Hg1 Hg 0.0000 0.0000 0.1897 1
Hg2 Hg 0.0095 0.6513 0.9504 1
# Energy relative to the elements in eV/atom: -0.28
# Magnetization in μB/f.u.: 0.00